# Ba2LiVF6

A relaxed structure of Ba2LiVF6 (PBE with a Hubbard U, Alexandria).

V   300.5 Å³ per cell
Total magnetic moment   6.3 Bohr magnetons per cell
D(E_F)   5.02 states/eV per cell
E   -108.746 eV per cell
Crystal system   tetragonal

Cell lengths 5.9397, 5.9449, 8.5094 Å; angles 90.00, 90.00, 90.00 degrees
With the nearest neighbours (Å) after each atom.
Fractional coordinates of all 20 atoms:
Ba 0.5000 0.7500 0.2502  12 F 2.97-2.99
Ba 0.0000 0.2500 0.7502  12 F 2.97-2.99
Ba 0.5000 0.7500 0.7498  12 F 2.97-2.99
Ba 0.0000 0.2500 0.2498  12 F 2.97-2.99
Li 0.0000 0.7500 0.5000  6 F 2.08-2.12
Li 0.5000 0.2500 0.0000  6 F 2.08-2.12
V 0.5000 0.2499 0.5000  6 F 2.12-2.13
V 0.0000 0.7501 0.0000  6 F 2.12-2.13
F 0.5000 0.2500 0.2492  1 Li 2.12, 1 V 2.13
F 0.5000 0.2500 0.7508  1 Li 2.12, 1 V 2.13
F 0.0000 0.7500 0.2508  1 Li 2.12, 1 V 2.13
F 0.0000 0.7500 0.7492  1 Li 2.12, 1 V 2.13
F 0.2475 0.9969 0.5000  1 Li 2.08, 1 V 2.12
F 0.7525 0.9969 0.5000  1 Li 2.08, 1 V 2.12
F 0.2474 0.5028 0.5000  1 Li 2.08, 1 V 2.12
F 0.7526 0.5028 0.5000  1 Li 2.08, 1 V 2.12
F 0.7474 0.4972 0.0000  1 Li 2.08, 1 V 2.12
F 0.2526 0.4972 0.0000  1 Li 2.08, 1 V 2.12
F 0.2525 0.0031 0.0000  1 Li 2.08, 1 V 2.12
F 0.7475 0.0031 0.0000  1 Li 2.08, 1 V 2.12